#a
Entry from Alexandria via LeMat-Bulk: a relaxed structure of Be3AsF (GGA-PBE).

Cell and atoms, written as CIF:
```
data_Be3AsF
_symmetry_space_group_name_H-M 'P m -3 m'
_symmetry_Int_Tables_number 221
_symmetry_space_group_name_Hall '-P 4 2 3'
_cell_length_a 3.881
_cell_length_b 3.881
_cell_length_c 3.881
_cell_angle_alpha 90.00
_cell_angle_beta 90.00
_cell_angle_gamma 90.00
loop_
_atom_site_label
_atom_site_fract_x
_atom_site_fract_y
_atom_site_fract_z
_atom_site_occupancy
Be1 0.000 0.000 0.500 1
As1 0.500 0.500 0.500 1
F1 0.000 0.000 0.000 1
```

Calculated values
- Total moment: 0.0 μB/f.u.
- Density: 3.435 g cm⁻³
- Density of states at the Fermi level: 2.9 states/eV/cell

#b
Entry from Alexandria via LeMat-Bulk: a relaxed structure of Be3AsF (GGA-PBE).

Cell and atoms, written as CIF:
```
data_Be3AsF
_symmetry_space_group_name_H-M 'P m -3 m'
_symmetry_Int_Tables_number 221
_symmetry_space_group_name_Hall '-P 4 2 3'
_cell_length_a 4.249
_cell_length_b 4.249
_cell_length_c 4.249
_cell_angle_alpha 90.00
_cell_angle_beta 90.00
_cell_angle_gamma 90.00
loop_
_atom_site_label
_atom_site_fract_x
_atom_site_fract_y
_atom_site_fract_z
_atom_site_occupancy
Be1 0.000 0.000 0.500 1
As1 0.000 0.000 0.000 1
F1 0.500 0.500 0.500 1
```

Calculated values
- Total moment: 0.0 μB/f.u.
- Density: 2.619 g cm⁻³
- Density of states at the Fermi level: 3.8 states/eV/cell

Out of the structures above, which one is the least stable? Solution: #b.